## ZnHSe2 (GGA-PBE)

Data for a geometry-optimized ZnHSe2 structure.

Computed properties:
Total moment in μB/f.u.: 0.0
Energy above the most stable polymorph in this dataset in eV/atom: 0.138
Total DFT energy (no corrections) in Ha/atom: -0.1029

```
data_ZnHSe2
_symmetry_space_group_name_H-M 'P 1'
_symmetry_Int_Tables_number 1
_symmetry_space_group_name_Hall 'P 1'
_cell_length_a 5.398
_cell_length_b 5.398
_cell_length_c 9.946
_cell_angle_alpha 90.00
_cell_angle_beta 90.00
_cell_angle_gamma 90.00
loop_
_atom_site_label
_atom_site_fract_x
_atom_site_fract_y
_atom_site_fract_z
Zn1 0.000 0.000 0.000
Zn2 0.000 0.500 0.250
Zn3 0.500 0.000 0.750
Zn4 0.500 0.500 0.500
H1 0.000 0.000 0.500
H2 0.000 0.500 0.750
H3 0.500 0.000 0.250
H4 0.500 0.500 0.000
Se1 0.196 0.250 0.625
Se2 0.250 0.696 0.875
Se3 0.250 0.804 0.375
Se4 0.304 0.250 0.125
Se5 0.696 0.750 0.125
Se6 0.750 0.196 0.375
Se7 0.750 0.304 0.875
Se8 0.804 0.750 0.625
```


## Rb3LiHf3Se8 (GGA-PBE)

Data for a geometry-optimized Rb3LiHf3Se8 structure.

Computed properties:
Total moment in μB/f.u.: 0.0
Total DFT energy (no corrections) in Ha/atom: -0.2012

```
data_Rb3LiHf3Se8
_symmetry_space_group_name_H-M 'P 1'
_symmetry_Int_Tables_number 1
_symmetry_space_group_name_Hall 'P 1'
_cell_length_a 9.257
_cell_length_b 9.257
_cell_length_c 9.257
_cell_angle_alpha 50.47
_cell_angle_beta 50.47
_cell_angle_gamma 50.47
loop_
_atom_site_label
_atom_site_fract_x
_atom_site_fract_y
_atom_site_fract_z
Rb1 0.000 0.500 0.500
Rb2 0.500 0.000 0.500
Rb3 0.500 0.500 0.000
Li1 0.500 0.500 0.500
Hf1 0.000 0.000 0.500
Hf2 0.000 0.500 0.000
Hf3 0.500 0.000 0.000
Se1 0.213 0.735 0.735
Se2 0.230 0.230 0.230
Se3 0.265 0.265 0.787
Se4 0.265 0.787 0.265
Se5 0.735 0.213 0.735
Se6 0.735 0.735 0.213
Se7 0.770 0.770 0.770
Se8 0.787 0.265 0.265
```


## TeIrOsN2 (GGA-PBE)

Data for a geometry-optimized TeIrOsN2 structure.

Computed properties:
Total moment in μB/f.u.: 1.0
Energy above the most stable polymorph in this dataset in eV/atom: 0.000
Total DFT energy (no corrections) in Ha/atom: -0.2565

```
data_TeIrOsN2
_symmetry_space_group_name_H-M 'P 1'
_symmetry_Int_Tables_number 1
_symmetry_space_group_name_Hall 'P 1'
_cell_length_a 3.778
_cell_length_b 3.778
_cell_length_c 5.982
_cell_angle_alpha 90.00
_cell_angle_beta 90.00
_cell_angle_gamma 90.00
loop_
_atom_site_label
_atom_site_fract_x
_atom_site_fract_y
_atom_site_fract_z
Te1 0.000 0.000 0.000
Ir1 0.500 0.500 0.000
Os1 0.000 0.000 0.500
N1 0.000 0.500 0.500
N2 0.500 0.000 0.500
```


## Dy3Tm4Ga4 (GGA-PBE)

Data for a geometry-optimized Dy3Tm4Ga4 structure.

Computed properties:
Total moment in μB/f.u.: 0.0
Total DFT energy (no corrections) in Ha/atom: -0.1598
Calculated formation energy in meV per atom: -367

```
data_Dy3Tm4Ga4
_symmetry_space_group_name_H-M 'P 1'
_symmetry_Int_Tables_number 1
_symmetry_space_group_name_Hall 'P 1'
_cell_length_a 9.303
_cell_length_b 9.303
_cell_length_c 9.303
_cell_angle_alpha 149.26
_cell_angle_beta 137.20
_cell_angle_gamma 53.62
loop_
_atom_site_label
_atom_site_fract_x
_atom_site_fract_y
_atom_site_fract_z
Dy1 0.000 0.000 0.000
Dy2 0.401 0.901 0.500
Dy3 0.599 0.099 0.500
Tm1 0.055 0.322 0.733
Tm2 0.411 0.678 0.733
Tm3 0.589 0.322 0.267
Tm4 0.945 0.678 0.267
Ga1 0.178 0.178 0.000
Ga2 0.301 0.500 0.801
Ga3 0.699 0.500 0.199
Ga4 0.822 0.822 0.000
```


## Rb3SbSe3 (GGA-PBE)

Data for a geometry-optimized Rb3SbSe3 structure.

Computed properties:
Total moment in μB/f.u.: 1.0
Total DFT energy (no corrections) in Ha/atom: -0.1177

```
data_Rb3SbSe3
_symmetry_space_group_name_H-M 'P 1'
_symmetry_Int_Tables_number 1
_symmetry_space_group_name_Hall 'P 1'
_cell_length_a 10.810
_cell_length_b 10.810
_cell_length_c 6.907
_cell_angle_alpha 90.00
_cell_angle_beta 90.00
_cell_angle_gamma 119.85
loop_
_atom_site_label
_atom_site_fract_x
_atom_site_fract_y
_atom_site_fract_z
Rb1 0.177 0.823 0.750
Rb2 0.178 0.355 0.750
Rb3 0.355 0.178 0.250
Rb4 0.645 0.822 0.750
Rb5 0.822 0.645 0.250
Rb6 0.823 0.177 0.250
Sb1 0.333 0.667 0.250
Sb2 0.667 0.333 0.750
Se1 0.191 0.809 0.250
Se2 0.192 0.383 0.250
Se3 0.383 0.192 0.750
Se4 0.617 0.808 0.250
Se5 0.808 0.617 0.750
Se6 0.809 0.191 0.750
```


## CaRu2Pb (GGA-PBE)

Data for a geometry-optimized CaRu2Pb structure.

Computed properties:
Total moment in μB/f.u.: 0.0
Total DFT energy (no corrections) in Ha/atom: -0.2122
Calculated formation energy in meV per atom: 291

```
data_CaRu2Pb
_symmetry_space_group_name_H-M 'P 1'
_symmetry_Int_Tables_number 1
_symmetry_space_group_name_Hall 'P 1'
_cell_length_a 3.164
_cell_length_b 4.716
_cell_length_c 10.391
_cell_angle_alpha 90.00
_cell_angle_beta 90.00
_cell_angle_gamma 90.00
loop_
_atom_site_label
_atom_site_fract_x
_atom_site_fract_y
_atom_site_fract_z
Ca1 0.000 0.000 0.000
Ca2 0.500 0.500 0.500
Ru1 0.000 0.000 0.515
Ru2 0.000 0.500 0.220
Ru3 0.500 0.000 0.720
Ru4 0.500 0.500 0.015
Pb1 0.000 0.500 0.782
Pb2 0.500 0.000 0.282
```